[1]
A PBEsol-optimized structure of ScBi3O, computed with meta-GGA SCAN.

The structure in POSCAR format:
```
ScBi3O
1.0
5.4370 0.0000 0.0000
0.0000 5.4370 0.0000
0.0000 0.0000 5.4370
Sc Bi O
1 3 1
Direct
0.0000 0.0000 0.0000
0.0000 0.0000 0.5000
0.0000 0.5000 0.0000
0.5000 0.0000 0.0000
0.5000 0.5000 0.5000
```

Computed properties:
formation energy from raw total energies = 0.637 eV per atom


[2]
A PBEsol-optimized structure of Be2NbRu, computed with meta-GGA SCAN.

The structure in POSCAR format:
```
Be2NbRu
1.0
-1.7887 1.7887 8.5066
1.7887 -1.7887 8.5066
1.7887 1.7887 -8.5066
Be Nb Ru
4 2 2
Direct
0.0779 0.6250 0.9529
0.3750 0.3279 0.4529
0.6721 0.1250 0.0471
0.8750 0.9221 0.5471
0.2500 0.7500 0.5000
0.5000 0.5000 0.0000
0.0000 0.0000 0.0000
0.7500 0.2500 0.5000
```

Computed properties:
energy of formation from the pure elements = 7.3 kcal/mol of atoms


[3]
A PBEsol-optimized structure of Li2Fe3F8, computed with meta-GGA SCAN.

The structure in POSCAR format:
```
Li2Fe3F8
1.0
2.9075 -6.0110 0.0000
2.9075 6.0110 0.0000
0.0000 0.0000 8.5323
Li Fe F
4 6 16
Direct
0.1429 0.8571 0.8843
0.3571 0.6429 0.3843
0.6429 0.3571 0.6157
0.8571 0.1429 0.1157
0.0000 0.0000 0.5000
0.1339 0.3661 0.7500
0.3661 0.1339 0.2500
0.5000 0.5000 0.0000
0.6339 0.8661 0.7500
0.8661 0.6339 0.2500
0.0129 0.9871 0.7526
0.1338 0.3659 0.5138
0.1341 0.3662 0.9862
0.2351 0.7649 0.2540
0.2649 0.7351 0.7540
0.3662 0.1341 0.0138
0.3659 0.1338 0.4862
0.4871 0.5129 0.2526
0.5129 0.4871 0.7474
0.6341 0.8662 0.5138
0.6338 0.8659 0.9862
0.7351 0.2649 0.2460
0.7649 0.2351 0.7460
0.8659 0.6338 0.0138
0.8662 0.6341 0.4862
0.9871 0.0129 0.2474
```

Computed properties:
energy relative to the lowest polymorph listed for this composition = 0.49 eV per formula unit
formation energy from raw total energies = -2.502 eV per atom


[4]
A PBEsol-optimized structure of Ni5Ru, computed with meta-GGA SCAN.

The structure in POSCAR format:
```
Ni5Ru
1.0
4.6034 -1.2508 0.0000
4.6034 1.2508 0.0000
-1.5558 0.0000 5.7105
Ni Ru
5 1
Direct
0.0000 0.0000 0.0000
0.0550 0.0550 0.6047
0.3346 0.3346 0.6605
0.3907 0.3907 0.2789
0.6680 0.6680 0.3347
0.7218 0.7218 0.9407
```

Computed properties:
energy of formation from the pure elements = 2.5 kcal/mol of atoms